(1)
Computed, not measured: an optimized crystal structure of Sm4CI2Br3 at the PBE level of DFT.

The calculation puts the distance to the lowest polymorph of the same formula at 0.0 meV/atom.

The space group is C2/m (No. 12) and the conventional cell measures 18.838, 3.950 and 8.367 Å, with angles of 90.00, 102.77 and 90.00 degrees. The inequivalent atoms are Sm at (0.000, 0.000, 0.204), Sm at (0.135, 0.500, 0.072), C at (0.000, 0.500, 0.000), I at (0.171, 0.000, 0.810), Br at (0.000, 0.500, 0.500) and Br at (0.159, 0.000, 0.338).

***

(2)
Computed, not measured: an optimized crystal structure of Ba2AsWS6 at the PBE level of DFT.

The space group is Fm-3m (No. 225) and the conventional cell measures 9.799, 9.799 and 9.799 Å, with angles of 90.00, 90.00 and 90.00 degrees. The inequivalent atoms are Ba at (0.250, 0.250, 0.250), As at (0.000, 0.000, 0.000), W at (0.000, 0.000, 0.500) and S at (0.000, 0.000, 0.255).

***

(3)
Computed, not measured: an optimized crystal structure of ReTeAsO at the PBE level of DFT.

The calculation puts the distance to the lowest polymorph of the same formula at 844.1 meV/atom.

The space group is P4/nmm (No. 129, origin choice 2) and the conventional cell measures 4.024, 4.024 and 9.956 Å, with angles of 90.00, 90.00 and 90.00 degrees. The inequivalent atoms are Re at (0.250, 0.250, 0.071), Te at (0.250, 0.750, 0.500), As at (0.250, 0.250, 0.814) and O at (0.250, 0.750, 0.000).

***

Number 1: uncorrected energy -4.932 eV per atom. Number 2: uncorrected energy -5.510 eV per atom. Number 3: uncorrected energy -5.786 eV per atom.